Computed, not measured: an optimized crystal structure of Mo2Au2F at the PBE+U level of DFT.

Its symmetry is I4/mmm, No. 139. As for the energy above the most stable polymorph in this dataset: 0.466 eV/atom.

a = 7.089 Å, b = 7.089 Å, c = 7.089 Å
α = 148.87°, β = 148.87°, γ = 44.60°
Sites, in units of the cell vectors:
Mo 0.083 0.083 0.000
Mo 0.917 0.917 0.000
Au 0.250 0.750 0.500
Au 0.750 0.250 0.500
F 0.500 0.500 0.000